## AcGe2Os (PBE)

Data for a relaxed AcGe2Os crystal.

Values from the calculation:
The formation energy comes out at -0.440 eV/atom. For the density of states at the Fermi level, the calculation gives 1.8 states/eV/f.u. The energy above the lowest structure with this stoichiometry is 0 meV per atom. For the energy, the calculation gives -6.583 eV per atom.

Cell: 4.3005 4.3005 10.9013 Å, 90.00 90.00 120.00°
With the nearest neighbours (Å) after each atom.
Fractional positions:
Ac (0.3333, 0.6667, 0.2500)  8 Ge 3.18-3.46
Ac (0.6667, 0.3333, 0.7500)  8 Ge 3.18-3.46
Ge (0.3333, 0.6667, 0.5678)  3 Os 2.59, 3 Ge 2.89
Ge (0.3333, 0.6667, 0.9322)  3 Os 2.59, 3 Ge 2.89
Ge (0.6667, 0.3333, 0.0678)  3 Os 2.59, 3 Ge 2.89
Ge (0.6667, 0.3333, 0.4322)  3 Os 2.59, 3 Ge 2.89
Os (0.0000, 0.0000, 0.0000)  6 Ge 2.59
Os (0.0000, 0.0000, 0.5000)  6 Ge 2.59